No. 1
# Ta5Re4Rh PBE optimized geometry
# **Formation enthalpy at 0 K**: -0.40 eV/atom
# **Size of the total moment**: 0.000 μB/cell
# **V**: 164 Å³ per cell
# **Symmetry**: No. 123
data_Ta5Re4Rh
_cell_length_a 3.211
_cell_length_b 3.211
_cell_length_c 15.927
_cell_angle_alpha 90.00
_cell_angle_beta 90.00
_cell_angle_gamma 90.00
_space_group_name_H-M_alt 'P 1'
_space_group_IT_number 1
_space_group_name_Hall 'P 1'
loop_
_atom_site_label
_atom_site_type_symbol
_atom_site_fract_x
_atom_site_fract_y
_atom_site_fract_z
Ta1 Ta 0.500 0.500 0.700
Ta2 Ta 0.500 0.500 0.500
Ta3 Ta 0.500 0.500 0.899
Ta4 Ta 0.500 0.500 0.101
Ta5 Ta 0.500 0.500 0.300
Re1 Re 0.000 0.000 0.802
Re2 Re 0.000 0.000 0.400
Re3 Re 0.000 0.000 0.198
Re4 Re 0.000 0.000 0.600
Rh1 Rh 0.000 0.000 0.000

No. 2
# TaRe2Rh PBE optimized geometry
# **Formation enthalpy at 0 K**: -0.08 eV/atom
# **Size of the total moment**: 0.000 μB/cell
# **V**: 62 Å³ per cell
# **Energy relative to the lowest polymorph listed for this composition**: 65 meV/atom
# **Symmetry**: No. 139
data_TaRe2Rh
_cell_length_a 4.937
_cell_length_b 4.937
_cell_length_c 4.937
_cell_angle_alpha 133.53
_cell_angle_beta 133.52
_cell_angle_gamma 67.82
_space_group_name_H-M_alt 'P 1'
_space_group_IT_number 1
_space_group_name_Hall 'P 1'
loop_
_atom_site_label
_atom_site_type_symbol
_atom_site_fract_x
_atom_site_fract_y
_atom_site_fract_z
Rh1 Rh 0.000 0.500 0.500
Re1 Re 0.750 0.750 0.000
Re2 Re 0.250 0.250 0.000
Ta1 Ta 0.500 0.000 0.500

No. 3
# Ta6ReRh5 PBE optimized geometry
# **Formation enthalpy at 0 K**: -0.39 eV/atom
# **Size of the total moment**: 0.000 μB/cell
# **V**: 194 Å³ per cell
# **Symmetry**: No. 10
data_Ta6ReRh5
_cell_length_a 4.769
_cell_length_b 5.868
_cell_length_c 6.957
_cell_angle_alpha 90.00
_cell_angle_beta 95.76
_cell_angle_gamma 90.00
_space_group_name_H-M_alt 'P 1'
_space_group_IT_number 1
_space_group_name_Hall 'P 1'
loop_
_atom_site_label
_atom_site_type_symbol
_atom_site_fract_x
_atom_site_fract_y
_atom_site_fract_z
Ta1 Ta 0.500 0.751 0.000
Ta2 Ta 0.500 0.249 0.000
Ta3 Ta 0.158 0.752 0.330
Ta4 Ta 0.842 0.248 0.670
Ta5 Ta 0.842 0.752 0.670
Ta6 Ta 0.158 0.248 0.330
Rh1 Rh 0.340 0.500 0.665
Rh2 Rh 0.000 0.500 0.000
Rh3 Rh 0.659 0.000 0.340
Rh4 Rh 0.341 0.000 0.660
Rh5 Rh 0.660 0.500 0.335
Re1 Re 0.000 0.000 0.000